1.
DFT (PBE+U) results for a relaxed structure of MnBiN2O.

Properties
crystal system = tetragonal
total energy = -5.56 eV per atom
Fermi-level density of states = 3.98 states/eV/cell

Cell: 4.301 4.301 4.233 Å, 90.00 90.00 90.00°
Space group P4/mmm (No. 123)
One atom of each set of equivalent atoms:
Mn  0.000  0.000  0.000 x1
Bi  0.500  0.500  0.500 x1
N  0.000  0.500  0.500 x2
O  0.500  0.500  0.000 x1

2.
DFT (PBE+U) results for a relaxed structure of MnBiN2O.

Properties
crystal system = tetragonal
total energy = -6.25 eV per atom
Fermi-level density of states = 2.72 states/eV/cell

Cell: 3.918 3.918 3.881 Å, 90.00 90.00 90.00°
Space group P4/mmm (No. 123)
One atom of each set of equivalent atoms:
Mn  0.000  0.000  0.000 x1
Bi  0.500  0.500  0.500 x1
N  0.000  0.500  0.000 x2
O  0.000  0.000  0.500 x1